[1]
VASP calculation (PBE) on a relaxed CeHoPd4 crystal.

Cell lengths 4.184, 19.749, 5.781 Å; angles 90.00, 90.00, 90.00 degrees
Space group Cmcm (No. 63)
Symmetry-distinct sites (fractional):
Ce (0.000, 0.079, 0.250) (multiplicity 4)
Ho (0.000, 0.225, 0.750) (multiplicity 4)
Pd (0.000, 0.074, 0.750) (multiplicity 4)
Pd (0.000, 0.351, 0.010) (multiplicity 8)
Pd (0.000, 0.500, 0.000) (multiplicity 4)

Results
**M_tot**: 0.085 μB per atom
**ΔE to the lowest computed polymorph**: 0.0 meV per atom
**E_tot**: -6.043 eV per atom
**Volume**: 478 Å³/cell
**ΔH_f (0 K)**: -480 kJ/mol of formula units

[2]
VASP calculation (PBE) on a relaxed CeHo2Pd crystal.

Cell lengths 7.224, 7.224, 7.224 Å; angles 90.00, 90.00, 90.00 degrees
Space group Fm-3m (No. 225)
Symmetry-distinct sites (fractional):
Ce (0.000, 0.000, 0.000) (multiplicity 4)
Ho (0.250, 0.250, 0.250) (multiplicity 8)
Pd (0.000, 0.000, 0.500) (multiplicity 4)

Results
**M_tot**: 0.001 μB per atom
**ΔE to the lowest computed polymorph**: 268.4 meV per atom
**E_tot**: -5.187 eV per atom
**Volume**: 377 Å³/cell
**ΔH_f (0 K)**: -45 kJ/mol of formula units

[3]
VASP calculation (PBE) on a relaxed CeHoPdPt crystal.

Cell lengths 4.576, 3.739, 10.635 Å; angles 90.00, 90.00, 90.00 degrees
Space group Amm2 (No. 38)
Symmetry-distinct sites (fractional):
Ce (0.000, 0.000, 0.000) (multiplicity 2)
Ho (0.500, 0.000, 0.273) (multiplicity 2)
Pd (0.500, 0.000, 0.547) (multiplicity 2)
Pt (0.000, 0.000, 0.727) (multiplicity 2)

Results
**M_tot**: 0.164 μB per atom
**ΔE to the lowest computed polymorph**: 0.0 meV per atom
**E_tot**: -6.445 eV per atom
**Volume**: 182 Å³/cell
**ΔH_f (0 K)**: -389 kJ/mol of formula units

[4]
VASP calculation (PBE) on a relaxed CeHoPdPt crystal.

Cell lengths 7.069, 7.069, 7.069 Å; angles 90.00, 90.00, 90.00 degrees
Space group F-43m (No. 216)
Symmetry-distinct sites (fractional):
Ce (0.000, 0.000, 0.000) (multiplicity 4)
Ho (0.000, 0.000, 0.500) (multiplicity 4)
Pd (0.250, 0.250, 0.250) (multiplicity 4)
Pt (0.250, 0.250, 0.750) (multiplicity 4)

Results
**M_tot**: 0.175 μB per atom
**ΔE to the lowest computed polymorph**: 83.1 meV per atom
**E_tot**: -6.362 eV per atom
**Volume**: 353 Å³/cell
**ΔH_f (0 K)**: -357 kJ/mol of formula units

[5]
VASP calculation (PBE) on a relaxed Ce2HoPdRh5 crystal.

Cell lengths 8.069, 8.069, 10.976 Å; angles 90.00, 90.00, 90.00 degrees
Space group I4/mcm (No. 140)
Symmetry-distinct sites (fractional):
Ce (0.138, 0.362, 0.000) (multiplicity 8)
Ho (0.000, 0.000, 0.250) (multiplicity 4)
Pd (0.000, 0.500, 0.250) (multiplicity 4)
Rh (0.000, 0.000, 0.000) (multiplicity 4)
Rh (0.201, 0.299, 0.363) (multiplicity 16)

Results
**M_tot**: 0.000 μB per atom
**E_tot**: -6.888 eV per atom
**Volume**: 715 Å³/cell
**ΔH_f (0 K)**: -347 kJ/mol of formula units

[6]
VASP calculation (PBE) on a relaxed CeHoPdRh crystal.

Cell lengths 6.999, 6.999, 6.999 Å; angles 90.00, 90.00, 90.00 degrees
Space group F-43m (No. 216)
Symmetry-distinct sites (fractional):
Ce (0.000, 0.000, 0.000) (multiplicity 4)
Ho (0.000, 0.000, 0.500) (multiplicity 4)
Pd (0.250, 0.250, 0.250) (multiplicity 4)
Rh (0.250, 0.250, 0.750) (multiplicity 4)

Results
**M_tot**: 0.202 μB per atom
**ΔE to the lowest computed polymorph**: 95.7 meV per atom
**E_tot**: -6.507 eV per atom
**Volume**: 343 Å³/cell
**ΔH_f (0 K)**: -287 kJ/mol of formula units